VASP calculation (PBE-GGA) on a relaxed structure of CePuBr5.

Computed properties:
For the formation energy without anion corrections, the calculation gives -1.6639 eV per atom.

a = 4.1697 Å, b = 8.4934 Å, c = 13.8815 Å
α = 93.21°, β = 90.00°, γ = 90.00°
Positions (direct):
Ce 0.2500 0.4210 0.3436
Ce 0.7500 0.5790 0.6564
Pu 0.7500 0.0891 0.1427
Pu 0.2500 0.9109 0.8573
Br 0.2500 0.0676 0.3050
Br 0.7500 0.1454 0.9293
Br 0.7500 0.3160 0.4827
Br 0.2500 0.3464 0.1275
Br 0.2500 0.3615 0.7140
Br 0.7500 0.6385 0.2860
Br 0.7500 0.6536 0.8725
Br 0.2500 0.6840 0.5173
Br 0.2500 0.8546 0.0707
Br 0.7500 0.9324 0.6950